*a*
Computed, not measured: Tb3Pr7Dy after structural relaxation at the PBE level of DFT.

Lattice parameters (Å, degrees): 6.9444 10.1862 11.9498 100.06 101.34 107.04
Closest atoms and distances in Å follow each position.
Sites, in units of the cell vectors:
Tb  0.0000  0.0000  0.0000  1 Dy 3.44, 6 Pr 3.55-3.75, 2 Tb 3.62-3.73
Tb  0.1133  0.6623  0.9853  9 Pr 3.41-3.77, 1 Dy 3.47, 1 Tb 3.73
Tb  0.3544  0.0579  0.8144  8 Pr 3.37-3.75, 2 Dy 3.45-3.76, 1 Tb 3.62
Tb  0.4999  0.5002  0.4999  1 Dy 3.44, 6 Pr 3.55-3.76, 2 Tb 3.62-3.73
Tb  0.6130  0.1626  0.4856  9 Pr 3.41-3.77, 1 Dy 3.47, 1 Tb 3.73
Tb  0.8546  0.5578  0.3144  8 Pr 3.37-3.76, 2 Dy 3.45-3.76, 1 Tb 3.62
Pr  0.0276  0.4714  0.5822  5 Pr 3.34-3.72, 4 Tb 3.41-3.71
Pr  0.1740  0.1806  0.5767  4 Pr 3.40-3.66, 4 Tb 3.46-3.77, 1 Dy 3.55
Pr  0.1862  0.8933  0.2649  5 Pr 3.42-3.78, 4 Tb 3.58-3.74, 1 Dy 3.76
Pr  0.2409  0.3586  0.9086  2 Tb 3.44-3.48, 1 Dy 3.63, 3 Pr 3.66-3.78
Pr  0.2934  0.8237  0.5357  5 Pr 3.42-3.72, 3 Tb 3.61-3.74, 1 Dy 3.65
Pr  0.4406  0.2546  0.2196  3 Pr 3.34-3.60, 4 Tb 3.37-3.68, 1 Dy 3.43
Pr  0.4735  0.7197  0.7993  6 Pr 3.47-3.78, 2 Tb 3.65-3.75, 1 Dy 3.80
Pr  0.5276  0.9711  0.0820  5 Pr 3.34-3.72, 4 Tb 3.41-3.71
Pr  0.6742  0.6802  0.0763  4 Pr 3.40-3.66, 4 Tb 3.46-3.77, 1 Dy 3.55
Pr  0.6860  0.3937  0.7650  5 Pr 3.42-3.78, 4 Tb 3.58-3.74, 1 Dy 3.76
Pr  0.7407  0.8590  0.4081  2 Tb 3.44-3.48, 1 Dy 3.63, 3 Pr 3.66-3.78
Pr  0.7935  0.3235  0.0357  5 Pr 3.42-3.72, 3 Tb 3.61-3.74, 1 Dy 3.65
Pr  0.9403  0.7550  0.7196  3 Pr 3.34-3.60, 4 Tb 3.37-3.68, 1 Dy 3.43
Pr  0.9736  0.2195  0.2995  6 Pr 3.47-3.77, 2 Tb 3.65-3.76, 1 Dy 3.81
Dy  0.3008  0.5516  0.2306  6 Pr 3.43-3.81, 4 Tb 3.44-3.76
Dy  0.8006  0.0519  0.7309  6 Pr 3.43-3.80, 4 Tb 3.44-3.76

Calculated values
Size of the total moment   0.000 μB/atom
V   767.7 Å³/cell
ρ   7.03 g/cm3
Crystal system   triclinic

*b*
Computed, not measured: Tb3Pr7Dy after structural relaxation at the PBE level of DFT.

Lattice parameters (Å, degrees): 8.6432 8.6432 8.6432 139.58 96.93 96.78
Closest atoms and distances in Å follow each position.
Sites, in units of the cell vectors:
Tb  0.0000  0.0000  0.0000  4 Pr 3.27
Tb  0.2050  0.7050  0.5000  9 Pr 3.36-3.72
Tb  0.7950  0.2950  0.5000  9 Pr 3.36-3.72
Pr  0.0167  0.2096  0.8070  2 Tb 3.27-3.65, 3 Pr 3.39-3.52
Pr  0.2095  0.5000  0.7095  1 Dy 3.33, 2 Tb 3.36, 2 Pr 3.52
Pr  0.4026  0.2096  0.1930  2 Tb 3.27-3.65, 3 Pr 3.39-3.52
Pr  0.5000  0.0000  0.5000  2 Dy 2.99
Pr  0.5974  0.7904  0.8070  2 Tb 3.27-3.65, 3 Pr 3.39-3.52
Pr  0.7905  0.5000  0.2905  1 Dy 3.33, 2 Tb 3.36, 2 Pr 3.52
Pr  0.9833  0.7904  0.1930  2 Tb 3.27-3.65, 3 Pr 3.39-3.52
Dy  0.5000  0.5000  0.0000  4 Pr 2.99-3.33

Calculated values
Size of the total moment   0.000 μB/atom
V   392.9 Å³/cell
ρ   6.87 g/cm3
Crystal system   orthorhombic

The energy of each structure relative to the most stable one, in kJ/mol of atoms, is as follows: *a* 0.0; *b* 14.4.